1.
{
  "formula": "Ba2ErVN4",
  "functional": "PBE",
  "state": "optimized geometry",
  "formation_energy_uncorrected_ev_per_atom": -0.6389,
  "spacegroup": "Fddd",
  "energy_ev_per_atom": -6.992,
  "lattice": [[0.0000, 5.9705, 10.6886], [2.8096, 0.0000, 10.6886], [2.8096, 5.9705, 0.0000]],
  "species": ["Ba", "Ba", "Ba", "Ba", "Er", "Er", "V", "V", "N", "N", "N", "N", "N", "N", "N", "N"],
  "frac_coords": [[0.0625, 0.0625, 0.6875], [0.3125, 0.3125, 0.9375], [0.6875, 0.6875, 0.0625], [0.9375, 0.9375, 0.3125], [0.1250, 0.1250, 0.1250], [0.8750, 0.8750, 0.8750], [0.3750, 0.3750, 0.3750], [0.6250, 0.6250, 0.6250], [0.0311, 0.6382, 0.5279], [0.3028, 0.5279, 0.6382], [0.3618, 0.9689, 0.6972], [0.4721, 0.6972, 0.9689], [0.5279, 0.3028, 0.0311], [0.6382, 0.0311, 0.3028], [0.6972, 0.4721, 0.3618], [0.9689, 0.3618, 0.4721]]
}

***

2.
{
  "formula": "BaCdRu2",
  "functional": "PBE",
  "state": "optimized geometry",
  "e_form_ev_per_atom": 0.8931,
  "spacegroup": "P4/mmm",
  "energy_ev_per_atom": -4.454,
  "lattice": [[4.6776, 0.0000, 0.0000], [0.0000, 4.6776, 0.0000], [0.0000, 0.0000, 3.8796]],
  "species": ["Ba", "Cd", "Ru", "Ru"],
  "frac_coords": [[0.0000, 0.0000, 0.0000], [0.5000, 0.5000, 0.0000], [0.0000, 0.5000, 0.5000], [0.5000, 0.0000, 0.5000]]
}

***

3.
{
  "formula": "FeCo",
  "functional": "PBE",
  "state": "optimized geometry",
  "e_form_ev_per_atom": -0.0072,
  "spacegroup": "Pmmm",
  "energy_ev_per_atom": -7.791,
  "lattice": [[2.8289, 0.0000, 0.0000], [0.0000, 4.0157, 0.0000], [0.0000, 0.0000, 8.0454]],
  "species": ["Fe", "Fe", "Fe", "Fe", "Co", "Co", "Co", "Co"],
  "frac_coords": [[0.0000, 0.0000, 0.0000], [0.0000, 0.5000, 0.2518], [0.0000, 0.5000, 0.7482], [0.5000, 0.5000, 0.0000], [0.0000, 0.0000, 0.5000], [0.5000, 0.0000, 0.2500], [0.5000, 0.0000, 0.7500], [0.5000, 0.5000, 0.5000]]
}

***

4.
{
  "formula": "NdEr2Sn",
  "functional": "PBE",
  "state": "optimized geometry",
  "e_form_ev_per_atom": -0.2901,
  "spacegroup": "Cmcm",
  "de_polymorph_ev_per_fu": 0.52,
  "energy_ev_per_atom": -4.764,
  "lattice": [[2.6897, -6.3800, 0.0000], [2.6897, 6.3800, 0.0000], [0.0000, 0.0000, 6.9981]],
  "species": ["Nd", "Nd", "Er", "Er", "Er", "Er", "Sn", "Sn"],
  "frac_coords": [[0.0674, 0.9326, 0.7500], [0.9326, 0.0674, 0.2500], [0.3689, 0.6311, 0.5221], [0.3689, 0.6311, 0.9779], [0.6311, 0.3689, 0.0221], [0.6311, 0.3689, 0.4779], [0.1801, 0.8199, 0.2500], [0.8199, 0.1801, 0.7500]]
}

***

5.
{
  "formula": "GdPuHgOs",
  "functional": "PBE",
  "state": "optimized geometry",
  "e_form_ev_per_atom": -0.0282,
  "spacegroup": "F-43m",
  "energy_ev_per_atom": -10.014,
  "lattice": [[0.0000, 3.5706, 3.5706], [3.5706, 0.0000, 3.5706], [3.5706, 3.5706, 0.0000]],
  "species": ["Gd", "Pu", "Hg", "Os"],
  "frac_coords": [[0.0000, 0.0000, 0.0000], [0.5000, 0.5000, 0.5000], [0.2500, 0.2500, 0.2500], [0.7500, 0.7500, 0.7500]]
}

***

6.
{
  "formula": "Sr3TlZn2O6",
  "functional": "PBE",
  "state": "optimized geometry",
  "formation_energy_uncorrected_ev_per_atom": -1.6146,
  "spacegroup": "P-3m1",
  "energy_ev_per_atom": -4.924,
  "lattice": [[6.0841, 0.0000, 0.0000], [-3.0421, 5.2690, 0.0000], [0.0000, 0.0000, 6.5438]],
  "species": ["Sr", "Sr", "Sr", "Tl", "Zn", "Zn", "O", "O", "O", "O", "O", "O"],
  "frac_coords": [[0.0000, 0.0000, 0.0000], [0.3333, 0.6667, 0.6144], [0.6667, 0.3333, 0.3856], [0.0000, 0.0000, 0.5000], [0.3333, 0.6667, 0.1581], [0.6667, 0.3333, 0.8419], [0.1695, 0.3390, 0.2888], [0.1695, 0.8305, 0.2888], [0.3390, 0.1695, 0.7112], [0.6610, 0.8305, 0.2888], [0.8305, 0.1695, 0.7112], [0.8305, 0.6610, 0.7112]]
}